Density functional theory data (PBE) for crystalline Th2MgPb2 at its relaxed geometry.

Lattice parameters (Å, degrees): 4.606 6.525 10.674 89.39 77.54 69.33
Element x y z (fractional)
Th: 0.661 0.352 0.326
Th: 0.922 0.264 0.891
Th: 0.078 0.736 0.109
Th: 0.339 0.648 0.674
Pb: 0.655 0.804 0.886
Pb: 0.345 0.196 0.114
Pb: 0.086 0.266 0.563
Pb: 0.914 0.734 0.437
Mg: 0.373 0.921 0.332
Mg: 0.627 0.079 0.668

Calculated values
Volume: 29.2 Å³/atom
ΔE_f: -0.23 eV/atom
Calculated total energy: -49.99 eV/cell
Space group: No. 12